A plane-wave DFT calculation with PBE was carried out for Tm4Cd3In after structural relaxation.

Unit cell a=3.697 b=3.697 c=14.841 alpha=90.00 beta=90.00 gamma=90.00
Atoms (fractional coordinates):
1 Tm 0.000 0.000 0.125
2 Tm 0.000 0.000 0.373
3 Tm 0.000 0.000 0.627
4 Tm 0.000 0.000 0.875
5 Cd 0.500 0.500 0.000
6 Cd 0.500 0.500 0.248
7 Cd 0.500 0.500 0.752
8 In 0.500 0.500 0.500

Computed properties:
The value obtained for the volume is 202.8 Å³ per cell. Its formation energy from the elements is -0.344 eV per atom. For the energy above the most stable polymorph in this dataset, the calculation gives 0.0 meV/atom. As for the magnetic moment: 0.000 μB/cell. The symmetry is P4/mmm (123). The crystal system is tetragonal. The uncorrected energy is -3.2654 eV per atom.


A plane-wave DFT calculation with PBE was carried out for TmCd2In after structural relaxation.

Unit cell a=3.650 b=3.650 c=7.404 alpha=90.00 beta=90.00 gamma=90.00
Atoms (fractional coordinates):
1 Tm 0.000 0.000 0.000
2 Cd 0.500 0.500 0.258
3 Cd 0.500 0.500 0.742
4 In 0.000 0.000 0.500

Computed properties:
The value obtained for the volume is 98.6 Å³ per cell. Its formation energy from the elements is -0.147 eV per atom. For the energy above the most stable polymorph in this dataset, the calculation gives 139.1 meV/atom. As for the magnetic moment: 0.283 μB/cell. The symmetry is P4/mmm (123). The crystal system is tetragonal. The uncorrected energy is -2.4066 eV per atom.


A plane-wave DFT calculation with PBE was carried out for Tm3Cd2In2 after structural relaxation.

Unit cell a=11.250 b=11.250 c=3.343 alpha=90.00 beta=90.00 gamma=155.74
Atoms (fractional coordinates):
1 Tm 0.000 0.000 0.000
2 Tm 0.154 0.846 0.000
3 Tm 0.846 0.154 0.000
4 Cd 0.285 0.715 0.500
5 Cd 0.715 0.285 0.500
6 In 0.424 0.576 0.500
7 In 0.576 0.424 0.500

Computed properties:
The value obtained for the volume is 173.9 Å³ per cell. Its formation energy from the elements is -0.342 eV per atom. As for the magnetic moment: 0.400 μB/cell. The symmetry is Cmmm (65). The crystal system is orthorhombic. The uncorrected energy is -3.3019 eV per atom.


A plane-wave DFT calculation with PBE was carried out for Tm2Cd3In3 after structural relaxation.

Unit cell a=4.544 b=4.635 c=9.005 alpha=90.00 beta=90.00 gamma=90.00
Atoms (fractional coordinates):
1 Tm 0.000 0.000 0.249
2 Tm 0.000 0.000 0.751
3 Cd 0.000 0.500 0.500
4 Cd 0.500 0.500 0.255
5 Cd 0.500 0.500 0.745
6 In 0.000 0.500 0.000
7 In 0.500 0.000 0.000
8 In 0.500 0.000 0.500

Computed properties:
The value obtained for the volume is 189.6 Å³ per cell. Its formation energy from the elements is -0.318 eV per atom. As for the magnetic moment: 0.000 μB/cell. The symmetry is Pmmm (47). The crystal system is orthorhombic. The uncorrected energy is -2.8064 eV per atom.


A plane-wave DFT calculation with PBE was carried out for TmCd6In2 after structural relaxation.

Unit cell a=8.144 b=8.144 c=4.767 alpha=98.85 beta=98.85 gamma=131.80
Atoms (fractional coordinates):
1 Tm 0.000 0.000 0.000
2 Cd 0.162 0.493 0.179
3 Cd 0.360 0.360 0.681
4 Cd 0.493 0.162 0.179
5 Cd 0.507 0.838 0.821
6 Cd 0.640 0.640 0.319
7 Cd 0.838 0.507 0.821
8 In 0.152 0.848 0.500
9 In 0.848 0.152 0.500

Computed properties:
The value obtained for the volume is 218.3 Å³ per cell. Its formation energy from the elements is -0.086 eV per atom. As for the magnetic moment: 0.000 μB/cell. The symmetry is C2/m (12). The crystal system is monoclinic. The uncorrected energy is -1.8018 eV per atom.


A plane-wave DFT calculation with PBE was carried out for TmCdIn after structural relaxation.

Unit cell a=9.025 b=9.025 c=9.025 alpha=159.96 beta=159.96 gamma=28.49
Atoms (fractional coordinates):
1 Tm 0.000 0.000 0.000
2 Cd 0.822 0.822 0.000
3 In 0.180 0.180 0.000

Computed properties:
The value obtained for the volume is 86.3 Å³ per cell. Its formation energy from the elements is 0.291 eV per atom. As for the magnetic moment: 0.001 μB/cell. The symmetry is I4mm (107). The crystal system is tetragonal. The uncorrected energy is -2.4172 eV per atom.


A plane-wave DFT calculation with PBE was carried out for Tm2Cd5In after structural relaxation.

Unit cell a=11.373 b=11.373 c=9.966 alpha=90.00 beta=90.00 gamma=162.26
Atoms (fractional coordinates):
1 Tm 0.000 0.000 0.000
2 Tm 0.000 0.000 0.500
3 Tm 0.179 0.821 0.750
4 Tm 0.821 0.179 0.250
5 Cd 0.217 0.783 0.104
6 Cd 0.217 0.783 0.396
7 Cd 0.375 0.625 0.004
8 Cd 0.375 0.625 0.496
9 Cd 0.430 0.570 0.750
10 Cd 0.570 0.430 0.250
11 Cd 0.625 0.375 0.504
12 Cd 0.625 0.375 0.996
13 Cd 0.783 0.217 0.604
14 Cd 0.783 0.217 0.896
15 In 0.442 0.558 0.250
16 In 0.558 0.442 0.750

Computed properties:
The value obtained for the volume is 392.7 Å³ per cell. Its formation energy from the elements is -0.203 eV per atom. As for the magnetic moment: 0.000 μB/cell. The symmetry is Cmcm (63). The crystal system is orthorhombic. The uncorrected energy is -2.2348 eV per atom.


A plane-wave DFT calculation with PBE was carried out for Tm6Cd2In after structural relaxation.

Unit cell a=10.013 b=7.760 c=7.218 alpha=83.82 beta=50.40 gamma=45.78
Atoms (fractional coordinates):
1 Tm 0.158 0.842 0.158
2 Tm 0.174 0.491 0.509
3 Tm 0.491 0.174 0.826
4 Tm 0.509 0.826 0.174
5 Tm 0.826 0.509 0.491
6 Tm 0.842 0.158 0.842
7 Cd 0.166 0.166 0.834
8 Cd 0.834 0.834 0.166
9 In 0.500 0.500 0.500

Computed properties:
The value obtained for the volume is 245.3 Å³ per cell. Its formation energy from the elements is -0.228 eV per atom. As for the magnetic moment: 1.347 μB/cell. The symmetry is Fmmm (69). The crystal system is orthorhombic. The uncorrected energy is -3.7165 eV per atom.